Record 1
# SrLiNb2 (PBE-GGA, relaxed)
data_SrLiNb2
_cell_length_a 4.760
_cell_length_b 4.760
_cell_length_c 21.190
_cell_angle_alpha 90.00
_cell_angle_beta 90.00
_cell_angle_gamma 90.00
_symmetry_space_group_name_H-M 'I 41/a m d'
_symmetry_Int_Tables_number 141
loop_
_symmetry_equiv_pos_as_xyz
'x,y,z'
'-x,-y,-z'
'-y+1/4,x+3/4,z+1/4'
'y+1/4,-x+3/4,-z+1/4'
'-x+1/2,-y,z+1/2'
'x+1/2,y,-z+1/2'
'y+1/4,-x+1/4,z+3/4'
'-y+1/4,x+1/4,-z+3/4'
'x,-y,-z'
'-x,y,z'
'-y+1/4,-x+1/4,-z+3/4'
'y+1/4,x+1/4,z+3/4'
'-x+1/2,y,-z+1/2'
'x+1/2,-y,z+1/2'
'y+1/4,x+3/4,-z+1/4'
'-y+1/4,-x+3/4,z+1/4'
'x+1/2,y+1/2,z+1/2'
'-x+1/2,-y+1/2,-z+1/2'
'-y+3/4,x+1/4,z+3/4'
'y+3/4,-x+1/4,-z+3/4'
'-x,-y+1/2,z'
'x,y+1/2,-z'
'y+3/4,-x+3/4,z+1/4'
'-y+3/4,x+3/4,-z+1/4'
'x+1/2,-y+1/2,-z+1/2'
'-x+1/2,y+1/2,z+1/2'
'-y+3/4,-x+3/4,-z+1/4'
'y+3/4,x+3/4,z+1/4'
'-x,y+1/2,-z'
'x,-y+1/2,z'
'y+3/4,x+1/4,-z+3/4'
'-y+3/4,-x+1/4,z+3/4'
loop_
_atom_site_label
_atom_site_type_symbol
_atom_site_fract_x
_atom_site_fract_y
_atom_site_fract_z
Sr1 Sr 0.000 0.250 0.375
Li1 Li 0.000 0.250 0.875
Nb1 Nb 0.000 0.000 0.000
# Energy of formation from the pure elements ... 4.522 eV per formula unit
# D(E_F) ... 1.462 states/eV/atom
# Total moment ... 0.000 μB/atom
# Mass density ... 3.879 g/cm³



Record 2
# SrLiNb (PBE-GGA, relaxed)
data_SrLiNb
_cell_length_a 7.584
_cell_length_b 7.584
_cell_length_c 7.584
_cell_angle_alpha 90.00
_cell_angle_beta 90.00
_cell_angle_gamma 90.00
_symmetry_space_group_name_H-M 'F -4 3 m'
_symmetry_Int_Tables_number 216
_symmetry_space_group_name_Hall 'F -4 2 3'
loop_
_atom_site_label
_atom_site_type_symbol
_atom_site_fract_x
_atom_site_fract_y
_atom_site_fract_z
Sr1 Sr 0.000 0.000 0.000
Li1 Li 0.000 0.000 0.500
Nb1 Nb 0.250 0.250 0.250
# Energy of formation from the pure elements ... 4.122 eV per formula unit
# D(E_F) ... 1.096 states/eV/atom
# Total moment ... 1.501 μB/atom
# Mass density ... 2.855 g/cm³



Record 3
# SrLiNb (PBE-GGA, relaxed)
data_SrLiNb
_cell_length_a 5.114
_cell_length_b 5.114
_cell_length_c 13.975
_cell_angle_alpha 90.00
_cell_angle_beta 90.00
_cell_angle_gamma 90.00
_symmetry_space_group_name_H-M 'I 4/m m m'
_symmetry_Int_Tables_number 139
_symmetry_space_group_name_Hall '-I 4 2'
loop_
_atom_site_label
_atom_site_type_symbol
_atom_site_fract_x
_atom_site_fract_y
_atom_site_fract_z
Sr1 Sr 0.000 0.000 0.163
Li1 Li 0.000 0.500 0.000
Nb1 Nb 0.000 0.000 0.421
# Energy of formation from the pure elements ... 1.859 eV per formula unit
# D(E_F) ... 1.140 states/eV/atom
# Total moment ... 0.000 μB/atom
# Mass density ... 3.406 g/cm³